(1)
A plane-wave DFT calculation with GGA-PBE was carried out for a geometry-optimized Tc3NiN structure.

Cell lengths 3.9879, 3.9879, 3.9879 Å; angles 90.00, 90.00, 90.00 degrees
Last column: nearest neighbours and their distance in Å.
Positions (direct):
Tc 0.0000 0.5000 0.0000  2 N 1.99
Tc 0.5000 0.0000 0.0000  2 N 1.99
Ni 0.5000 0.5000 0.5000  12 Tc 2.82
Tc 0.0000 0.0000 0.5000  2 N 1.99
N 0.0000 0.0000 0.0000  6 Tc 1.99

***

(2)
A plane-wave DFT calculation with GGA-PBE was carried out for a geometry-optimized Tc3NiN structure.

Cell lengths 4.4101, 4.4101, 4.4101 Å; angles 90.00, 90.00, 90.00 degrees
Last column: nearest neighbours and their distance in Å.
Positions (direct):
Tc 0.0000 0.0000 0.5000  2 Ni 2.21
Tc 0.0000 0.5000 0.0000  2 Ni 2.21
Ni 0.0000 0.0000 0.0000  6 Tc 2.21
Tc 0.5000 0.0000 0.0000  2 Ni 2.21
N 0.5000 0.5000 0.5000  12 Tc 3.12

***

Most stable: (1). Least stable: (2).

***

(1)
A plane-wave DFT calculation with GGA-PBE was carried out for a geometry-optimized NiTe2N2 structure.

Cell lengths 5.1760, 5.1760, 3.3587 Å; angles 90.00, 90.00, 90.00 degrees
Last column: nearest neighbours and their distance in Å.
Positions (direct):
Ni 0.0000 0.0000 0.0000  2 N 1.68
Te 0.0000 0.5000 0.0000  2 Ni 2.59
N 0.0000 0.0000 0.5000  2 Ni 1.68
N 0.5000 0.5000 0.5000  8 Te 3.09, 2 N 3.36
Te 0.5000 0.0000 0.0000  2 Ni 2.59

***

(2)
A plane-wave DFT calculation with GGA-PBE was carried out for a geometry-optimized NiTe2N2 structure.

Cell lengths 3.8855, 3.8855, 6.7090 Å; angles 90.00, 90.00, 90.00 degrees
Last column: nearest neighbours and their distance in Å.
Positions (direct):
Ni 0.5000 0.5000 0.5000  4 Te 2.75
Te 0.0000 0.0000 0.0000  4 N 1.94
N 0.0000 0.5000 0.0000  2 Te 1.94
Te 0.0000 0.0000 0.5000  4 Ni 2.75
N 0.5000 0.0000 0.0000  2 Te 1.94

***

Most stable: (1). Least stable: (2).

***

(1)
A plane-wave DFT calculation with GGA-PBE was carried out for a geometry-optimized Ni3TeN structure.

Cell lengths 4.7472, 4.7472, 4.7472 Å; angles 90.00, 90.00, 90.00 degrees
Last column: nearest neighbours and their distance in Å.
Positions (direct):
Te 0.0000 0.0000 0.0000  6 Ni 2.37
Ni 0.0000 0.5000 0.0000  2 Te 2.37
Ni 0.0000 0.0000 0.5000  2 Te 2.37
N 0.5000 0.5000 0.5000  12 Ni 3.36
Ni 0.5000 0.0000 0.0000  2 Te 2.37

***

(2)
A plane-wave DFT calculation with GGA-PBE was carried out for a geometry-optimized Ni3TeN structure.

Cell lengths 3.9502, 3.9502, 3.9502 Å; angles 90.00, 90.00, 90.00 degrees
Last column: nearest neighbours and their distance in Å.
Positions (direct):
Ni 0.0000 0.5000 0.0000  2 N 1.98
Te 0.5000 0.5000 0.5000  12 Ni 2.79
Ni 0.5000 0.0000 0.0000  2 N 1.98
N 0.0000 0.0000 0.0000  6 Ni 1.98
Ni 0.0000 0.0000 0.5000  2 N 1.98

***

Most stable: (2). Least stable: (1).

***

(1)
A plane-wave DFT calculation with GGA-PBE was carried out for a geometry-optimized TiNiTe2N structure.

Cell lengths 5.2974, 5.2974, 3.4434 Å; angles 90.00, 90.00, 90.00 degrees
Last column: nearest neighbours and their distance in Å.
Positions (direct):
Te 0.5000 0.0000 0.0000  2 Ni 2.65
Te 0.0000 0.5000 0.0000  2 Ni 2.65
N 0.0000 0.0000 0.5000  2 Ni 1.72
Ti 0.5000 0.5000 0.5000  8 Te 3.16, 2 Ti 3.44
Ni 0.0000 0.0000 0.0000  2 N 1.72

***

(2)
A plane-wave DFT calculation with GGA-PBE was carried out for a geometry-optimized TiNiTe2N structure.

Cell lengths 5.4527, 5.4527, 3.6535 Å; angles 90.00, 90.00, 90.00 degrees
Last column: nearest neighbours and their distance in Å.
Positions (direct):
Te 0.0000 0.5000 0.0000  2 Ti 2.73
N 0.0000 0.0000 0.5000  2 Ti 1.83
Ni 0.5000 0.5000 0.5000  8 Te 3.28, 2 Ni 3.65
Te 0.5000 0.0000 0.0000  2 Ti 2.73
Ti 0.0000 0.0000 0.0000  2 N 1.83

***

Most stable: (1). Least stable: (2).

***

(1)
A plane-wave DFT calculation with GGA-PBE was carried out for a geometry-optimized Tl2NiTeN structure.

Cell lengths 6.5209, 4.6399, 6.5209 Å; angles 90.00, 90.00, 90.00 degrees
Last column: nearest neighbours and their distance in Å.
Positions (direct):
Ni 0.0000 0.5000 0.0000  2 Te 2.32
N 0.5000 0.5000 0.5000  8 Tl 4.00
Te 0.0000 0.0000 0.0000  2 Ni 2.32
Tl 0.5000 0.0000 0.0000  2 Te 3.26
Tl 0.0000 0.0000 0.5000  2 Te 3.26

***

(2)
A plane-wave DFT calculation with GGA-PBE was carried out for a geometry-optimized Tl2NiTeN structure.

Cell lengths 5.9473, 3.4422, 5.9473 Å; angles 90.00, 90.00, 90.00 degrees
Last column: nearest neighbours and their distance in Å.
Positions (direct):
Ni 0.0000 0.5000 0.0000  2 N 1.72
N 0.0000 0.0000 0.0000  2 Ni 1.72
Tl 0.0000 0.0000 0.5000  2 N 2.97
Tl 0.5000 0.0000 0.0000  2 N 2.97
Te 0.5000 0.5000 0.5000  8 Tl 3.44, 2 Te 3.44

***

Most stable: (2). Least stable: (1).

***

(1)
A plane-wave DFT calculation with GGA-PBE was carried out for a geometry-optimized VNiTeN2 structure.

Cell lengths 3.7154, 3.7154, 5.7362 Å; angles 90.00, 90.00, 90.00 degrees
Last column: nearest neighbours and their distance in Å.
Positions (direct):
V 0.0000 0.0000 0.0000  4 N 1.86
N 0.0000 0.5000 0.0000  2 V 1.86
Te 0.0000 0.0000 0.5000  4 Ni 2.63, 2 V 2.87
N 0.5000 0.0000 0.0000  2 V 1.86
Ni 0.5000 0.5000 0.5000  4 Te 2.63

***

(2)
A plane-wave DFT calculation with GGA-PBE was carried out for a geometry-optimized VNiTeN2 structure.

Cell lengths 3.7436, 3.7436, 5.1284 Å; angles 90.00, 90.00, 90.00 degrees
Last column: nearest neighbours and their distance in Å.
Positions (direct):
Ni 0.0000 0.0000 0.0000  4 N 1.87
V 0.5000 0.5000 0.5000  4 Te 2.65
Te 0.0000 0.0000 0.5000  2 Ni 2.56, 4 V 2.65
N 0.5000 0.0000 0.0000  2 Ni 1.87
N 0.0000 0.5000 0.0000  2 Ni 1.87

***

Most stable: (1). Least stable: (2).

***

(1)
A plane-wave DFT calculation with GGA-PBE was carried out for a geometry-optimized NiTe2WN structure.

Cell lengths 5.2268, 5.2268, 3.3959 Å; angles 90.00, 90.00, 90.00 degrees
Last column: nearest neighbours and their distance in Å.
Positions (direct):
Te 0.0000 0.5000 0.0000  2 Ni 2.61
Te 0.5000 0.0000 0.0000  2 Ni 2.61
Ni 0.0000 0.0000 0.0000  2 N 1.70
W 0.5000 0.5000 0.5000  8 Te 3.12, 2 W 3.40
N 0.0000 0.0000 0.5000  2 Ni 1.70

***

(2)
A plane-wave DFT calculation with GGA-PBE was carried out for a geometry-optimized NiTe2WN structure.

Cell lengths 5.3827, 5.3827, 3.7819 Å; angles 90.00, 90.00, 90.00 degrees
Last column: nearest neighbours and their distance in Å.
Positions (direct):
W 0.0000 0.0000 0.0000  2 N 1.89
Te 0.0000 0.5000 0.0000  2 W 2.69
Te 0.5000 0.0000 0.0000  2 W 2.69
Ni 0.5000 0.5000 0.5000  8 Te 3.29
N 0.0000 0.0000 0.5000  2 W 1.89

***

Most stable: (2). Least stable: (1).